Entry from Alexandria via LeMat-Bulk: a geometry-optimized KZnCl structure (GGA-PBE).

Its volume is 113 Å³ per cell. Its total energy is -2.238 eV/atom. The uncorrected formation energy is -0.8320 eV per atom. Its density of states at the Fermi level is 0.000 states/eV/atom. The density is 2.1 g cm⁻³. The value obtained for the distance to the lowest polymorph of the same formula is 47 meV/atom.

The structure belongs to space group P3m1 (No. 156); the cell edges are 4.7139, 4.7139 and 5.8606 Å and the angles 90.00°, 90.00° and 120.00°. Symmetry generates all atoms from K at (0.0000, 0.0000, 0.0000), Zn at (0.6667, 0.3333, 0.4364) and Cl at (0.3333, 0.6667, 0.7712).

=====

Entry from Alexandria via LeMat-Bulk: a geometry-optimized PmBi3Te6 structure (GGA-PBE).

Its volume is 725 Å³ per cell. Its total energy is -4.042 eV/atom. The uncorrected formation energy is -0.5173 eV per atom. The density is 7.0 g cm⁻³.

The structure belongs to space group P2_1/m (No. 11); the cell edges are 13.179, 4.410 and 13.275 Å and the angles 90.00°, 109.91° and 90.00°. Symmetry generates all atoms from Pm at (0.195, 0.250, 0.042), Bi at (0.037, 0.750, 0.298), Bi at (0.340, 0.250, 0.442), Bi at (0.399, 0.750, 0.850), Te at (0.029, 0.750, 0.899), Te at (0.119, 0.250, 0.469), Te at (0.234, 0.250, 0.807), Te at (0.239, 0.750, 0.242), Te at (0.394, 0.750, 0.075) and Te at (0.430, 0.750, 0.606).

=====

Entry from Alexandria via LeMat-Bulk: a geometry-optimized TcBi2SbTe structure (GGA-PBE).

Its volume is 149 Å³ per cell. Its total energy is -4.582 eV/atom. The uncorrected formation energy is 0.4964 eV per atom. Its density of states at the Fermi level is 0.529 states/eV/atom. The density is 8.6 g cm⁻³.

The structure belongs to space group P4/mmm (No. 123); the cell edges are 5.461, 5.461 and 4.981 Å and the angles 90.00°, 90.00° and 90.00°. Symmetry generates all atoms from Tc at (0.000, 0.000, 0.000), Bi at (0.000, 0.500, 0.000), Sb at (0.500, 0.500, 0.500) and Te at (0.000, 0.000, 0.500).

=====

Entry from Alexandria via LeMat-Bulk: a geometry-optimized Ca3SbRh structure (GGA-PBE).

Its volume is 153 Å³ per cell. Its total energy is -3.990 eV/atom. The uncorrected formation energy is -0.4940 eV per atom. Its density of states at the Fermi level is 0.000 states/eV/atom. The density is 3.7 g cm⁻³. The value obtained for the distance to the lowest polymorph of the same formula is 0 meV/atom.

The structure belongs to space group Pm-3m (No. 221); the cell edges are 5.349, 5.349 and 5.349 Å and the angles 90.00°, 90.00° and 90.00°. Symmetry generates all atoms from Ca at (0.000, 0.000, 0.500), Sb at (0.500, 0.500, 0.500) and Rh at (0.000, 0.000, 0.000).

=====

Entry from Alexandria via LeMat-Bulk: a geometry-optimized KPF3 structure (GGA-PBE).

Its volume is 80 Å³ per cell. Its total energy is -4.141 eV/atom. The uncorrected formation energy is -1.7165 eV per atom. Its density of states at the Fermi level is 0.481 states/eV/atom. The density is 2.6 g cm⁻³. The value obtained for the distance to the lowest polymorph of the same formula is 0 meV/atom.

The structure belongs to space group Pm-3m (No. 221); the cell edges are 4.315, 4.315 and 4.315 Å and the angles 90.00°, 90.00° and 90.00°. Symmetry generates all atoms from K at (0.000, 0.000, 0.000), P at (0.500, 0.500, 0.500) and F at (0.000, 0.500, 0.500).

=====

Entry from Alexandria via LeMat-Bulk: a geometry-optimized Li2SnW structure (GGA-PBE).

Its volume is 278 Å³ per cell. Its total energy is -4.443 eV/atom. Its density of states at the Fermi level is 0.633 states/eV/atom. The density is 7.6 g cm⁻³.

The structure belongs to space group I-42d (No. 122); the cell edges are 7.181, 7.181 and 5.384 Å and the angles 90.00°, 90.00° and 90.00°. Symmetry generates all atoms from Li at (0.243, 0.250, 0.125), Sn at (0.000, 0.000, 0.000) and W at (0.000, 0.000, 0.500).

=====

Entry from Alexandria via LeMat-Bulk: a geometry-optimized CsTiAlRu2 structure (GGA-PBE).

Its volume is 119 Å³ per cell. Its total energy is -5.143 eV/atom. Its density of states at the Fermi level is 1.117 states/eV/atom. The density is 5.7 g cm⁻³.

The structure belongs to space group P4/mmm (No. 123); the cell edges are 4.724, 4.724 and 5.345 Å and the angles 90.00°, 90.00° and 90.00°. Symmetry generates all atoms from Cs at (0.000, 0.000, 0.000), Ti at (0.500, 0.500, 0.500), Al at (0.500, 0.500, 0.000) and Ru at (0.000, 0.500, 0.500).

=====

Entry from Alexandria via LeMat-Bulk: a geometry-optimized CrOs2Ru structure (GGA-PBE).

Its volume is 243 Å³ per cell. Its total energy is -9.535 eV/atom. Its density of states at the Fermi level is 1.220 states/eV/atom. The density is 14.6 g cm⁻³. The value obtained for the distance to the lowest polymorph of the same formula is 738 meV/atom.

The structure belongs to space group I-42d (No. 122); the cell edges are 3.749, 3.749 and 17.264 Å and the angles 90.00°, 90.00° and 90.00°. Symmetry generates all atoms from Cr at (0.000, 0.000, 0.000), Os at (0.226, 0.250, 0.125) and Ru at (0.000, 0.000, 0.500).

=====

Entry from Alexandria via LeMat-Bulk: a geometry-optimized CsNaSr structure (GGA-PBE).

Its volume is 378 Å³ per cell. Its total energy is -1.183 eV/atom. Its density of states at the Fermi level is 0.836 states/eV/atom. The density is 2.1 g cm⁻³. The value obtained for the distance to the lowest polymorph of the same formula is 0 meV/atom.

The structure belongs to space group I4mm (No. 107); the cell edges are 4.592, 4.592 and 17.903 Å and the angles 90.00°, 90.00° and 90.00°. Symmetry generates all atoms from Cs at (0.000, 0.000, 0.000), Na at (0.000, 0.000, 0.668) and Sr at (0.000, 0.000, 0.293).

=====

Entry from Alexandria via LeMat-Bulk: a geometry-optimized MgPaBi2 structure (GGA-PBE).

Its volume is 111 Å³ per cell. Its total energy is -4.831 eV/atom. Its density of states at the Fermi level is 1.065 states/eV/atom. The density is 10.1 g cm⁻³. The value obtained for the distance to the lowest polymorph of the same formula is 84 meV/atom.

The structure belongs to space group P4/mmm (No. 123); the cell edges are 4.042, 4.042 and 6.784 Å and the angles 90.00°, 90.00° and 90.00°. Symmetry generates all atoms from Mg at (0.000, 0.000, 0.000), Pa at (0.000, 0.000, 0.500) and Bi at (0.500, 0.500, 0.256).

=====

Entry from Alexandria via LeMat-Bulk: a geometry-optimized LiNpAlIr structure (GGA-PBE).

Its volume is 279 Å³ per cell. Its total energy is -7.095 eV/atom. Its density of states at the Fermi level is 2.349 states/eV/atom. The density is 11.0 g cm⁻³.

The structure belongs to space group F-43m (No. 216); the cell edges are 6.534, 6.534 and 6.534 Å and the angles 90.00°, 90.00° and 90.00°. Symmetry generates all atoms from Li at (0.000, 0.000, 0.000), Np at (0.250, 0.250, 0.750), Al at (0.250, 0.250, 0.250) and Ir at (0.000, 0.000, 0.500).

=====

Entry from Alexandria via LeMat-Bulk: a geometry-optimized Ca2BeMoN4 structure (GGA-PBE).

Its volume is 213 Å³ per cell. Its total energy is -7.337 eV/atom. The uncorrected formation energy is -0.8547 eV per atom. The density is 3.8 g cm⁻³.

The structure belongs to space group Pmn2_1 (No. 31); the cell edges are 6.588, 5.818 and 5.569 Å and the angles 90.00°, 90.00° and 90.00°. Symmetry generates all atoms from Ca at (0.250, 0.245, 0.000), Be at (0.000, 0.194, 0.493), Mo at (0.000, 0.804, 0.993), N at (0.000, 0.012, 0.739), N at (0.000, 0.996, 0.260) and N at (0.247, 0.351, 0.482).

=====

Entry from Alexandria via LeMat-Bulk: a geometry-optimized ScIr3Se structure (GGA-PBE).

Its volume is 97 Å³ per cell. Its total energy is -6.692 eV/atom. The uncorrected formation energy is 0.5880 eV per atom. Its density of states at the Fermi level is 0.935 states/eV/atom. The density is 12.0 g cm⁻³. The value obtained for the distance to the lowest polymorph of the same formula is 0 meV/atom.

The structure belongs to space group Pm-3m (No. 221); the cell edges are 4.599, 4.599 and 4.599 Å and the angles 90.00°, 90.00° and 90.00°. Symmetry generates all atoms from Sc at (0.000, 0.000, 0.000), Ir at (0.000, 0.500, 0.500) and Se at (0.500, 0.500, 0.500).

=====

Entry from Alexandria via LeMat-Bulk: a geometry-optimized Sm7Y2Er structure (GGA-PBE).

Its volume is 331 Å³ per cell. Its total energy is -5.036 eV/atom. Its density of states at the Fermi level is 1.463 states/eV/atom. The density is 7.0 g cm⁻³. The value obtained for the distance to the lowest polymorph of the same formula is 0 meV/atom.

The structure belongs to space group P-1 (No. 2); the cell edges are 6.238, 6.246 and 9.534 Å and the angles 102.56°, 109.03° and 99.52°. Symmetry generates all atoms from Sm at (0.000, 0.000, 0.000), Sm at (0.198, 0.000, 0.400), Sm at (0.200, 0.500, 0.900), Sm at (0.401, 0.501, 0.302), Y at (0.400, 0.999, 0.799) and Er at (0.000, 0.500, 0.500).

=====

Entry from Alexandria via LeMat-Bulk: a geometry-optimized Mo2AsPt structure (GGA-PBE).

Its volume is 366 Å³ per cell. Its total energy is -7.334 eV/atom. Its density of states at the Fermi level is 1.007 states/eV/atom. The density is 8.4 g cm⁻³.

The structure belongs to space group I-42d (No. 122); the cell edges are 5.767, 5.767 and 11.003 Å and the angles 90.00°, 90.00° and 90.00°. Symmetry generates all atoms from Mo at (0.247, 0.250, 0.125), As at (0.000, 0.000, 0.500) and Pt at (0.000, 0.000, 0.000).

=====

Entry from Alexandria via LeMat-Bulk: a geometry-optimized Tm3Ni6Ge2 structure (GGA-PBE).

Its volume is 680 Å³ per cell. Its total energy is -5.823 eV/atom. Its density of states at the Fermi level is 0.539 states/eV/atom. The density is 9.8 g cm⁻³.

The structure belongs to space group Im-3m (No. 229); the cell edges are 8.792, 8.792 and 8.792 Å and the angles 90.00°, 90.00° and 90.00°. Symmetry generates all atoms from Tm at (0.000, 0.000, 0.286), Ni at (0.000, 0.336, 0.336) and Ge at (0.250, 0.250, 0.250).

=====

Entry from Alexandria via LeMat-Bulk: a geometry-optimized Tb3Th4S8 structure (GGA-PBE).

Its volume is 713 Å³ per cell. Its total energy is -7.029 eV/atom. The uncorrected formation energy is -1.9227 eV per atom. Its density of states at the Fermi level is 0.432 states/eV/atom. The density is 7.7 g cm⁻³.

The structure belongs to space group C2/m (No. 12); the cell edges are 11.244, 11.255 and 7.944 Å and the angles 90.00°, 134.82° and 90.00°. Symmetry generates all atoms from Tb at (0.000, 0.000, 0.000), Tb at (0.250, 0.250, 0.000), Th at (0.000, 0.500, 0.000), Th at (0.000, 0.500, 0.500), Th at (0.250, 0.250, 0.500), S at (0.000, 0.243, 0.500), S at (0.000, 0.246, 0.000), S at (0.238, 0.000, 0.492) and S at (0.241, 0.000, 0.989).

=====

Entry from Alexandria via LeMat-Bulk: a geometry-optimized CdHgRh2 structure (GGA-PBE).

Its volume is 138 Å³ per cell. Its total energy is -3.794 eV/atom. Its density of states at the Fermi level is 0.594 states/eV/atom. The density is 12.5 g cm⁻³.

The structure belongs to space group Cmmm (No. 65); the cell edges are 3.065, 4.888 and 9.230 Å and the angles 90.00°, 90.00° and 90.00°. Symmetry generates all atoms from Cd at (0.000, 0.000, 0.000), Hg at (0.000, 0.000, 0.500) and Rh at (0.000, 0.500, 0.248).

=====

Entry from Alexandria via LeMat-Bulk: a geometry-optimized CaPr2In structure (GGA-PBE).

Its volume is 513 Å³ per cell. Its total energy is -3.781 eV/atom. Its density of states at the Fermi level is 0.682 states/eV/atom. The density is 5.7 g cm⁻³. The value obtained for the distance to the lowest polymorph of the same formula is 34 meV/atom.

The structure belongs to space group Fm-3m (No. 225); the cell edges are 8.003, 8.003 and 8.003 Å and the angles 90.00°, 90.00° and 90.00°. Symmetry generates all atoms from Ca at (0.000, 0.000, 0.000), Pr at (0.250, 0.250, 0.250) and In at (0.000, 0.000, 0.500).

=====

Entry from Alexandria via LeMat-Bulk: a geometry-optimized CaP structure (GGA-PBE).

Its volume is 206 Å³ per cell. Its total energy is -4.711 eV/atom. Its density of states at the Fermi level is 0.019 states/eV/atom. The density is 2.3 g cm⁻³.

The structure belongs to space group Immm (No. 71); the cell edges are 4.320, 6.233 and 7.642 Å and the angles 90.00°, 90.00° and 90.00°. Symmetry generates all atoms from Ca at (0.000, 0.000, 0.223) and P at (0.000, 0.319, 0.500).